DFT (PBE) results for a geometry-optimized Ga2AgRu structure.

abc: 3.0849 3.0849 6.5579
angles: 90.00 90.00 90.00
Last column: nearest neighbours and their distance in Å.
Space group P4/mmm (No. 123)
Inequivalent atoms, fractional coordinates:
Ga (0.0000, 0.0000, 0.2180) x2  4 Ru 2.61, 1 Ga 2.86, 4 Ag 2.86
Ag (0.5000, 0.5000, 0.5000) x1  8 Ga 2.86, 4 Ag 3.08
Ru (0.5000, 0.5000, 0.0000) x1  8 Ga 2.61

Output
V: 15.60 Å³/atom
Raw total energy: -0.345 Ry/atom
DOS(E_F): 0.3067 states/eV/atom